# 1
Here is a geometry-optimized Si2AsP structure from Alexandria. Energies are from PBE.

Lattice parameters (Å, degrees): 4.472 4.472 4.472 60.00 60.00 60.00
Sites, in units of the cell vectors:
Si: 0.750 0.750 0.750
Si: 0.250 0.250 0.250
P: 0.000 0.000 0.000
As: 0.500 0.500 0.500

Results
The distance to the lowest polymorph of the same formula is 476.1 meV per atom. As for the uncorrected formation energy: 0.55 eV per atom.

# 2
Here is a geometry-optimized HAu structure from Alexandria. Energies are from PBE.

Lattice parameters (Å, degrees): 3.010 6.221 8.306 90.00 90.00 90.00
Sites, in units of the cell vectors:
Au: 0.500 0.172 0.323
Au: 0.000 0.828 0.823
Au: 0.000 0.828 0.177
Au: 0.500 0.504 0.000
Au: 0.500 0.172 0.677
Au: 0.000 0.496 0.500
H: 0.500 0.019 0.500
H: 0.500 0.281 0.134
H: 0.000 0.981 0.000
H: 0.500 0.281 0.866
H: 0.000 0.719 0.366
H: 0.000 0.719 0.634

Results
The energy is -3.079 eV/atom.

# 3
Here is a geometry-optimized Cs2HgPPt structure from Alexandria. Energies are from PBE.

Lattice parameters (Å, degrees): 6.976 6.976 4.420 90.00 90.00 90.00
Sites, in units of the cell vectors:
Pt: 0.000 0.000 0.000
Cs: 0.500 0.000 0.000
Cs: 0.000 0.500 0.000
P: 0.000 0.000 0.500
Hg: 0.500 0.500 0.500

Results
The distance to the lowest polymorph of the same formula is 0.0 meV per atom. The formation energy from the elements is -0.35 eV/atom.

# 4
Here is a geometry-optimized AcPrNdGd structure from Alexandria. Energies are from PBE.

Lattice parameters (Å, degrees): 5.952 5.952 5.952 60.00 60.00 60.00
Sites, in units of the cell vectors:
Ac: 0.250 0.250 0.250
Pr: 0.500 0.500 0.500
Nd: 0.000 0.000 0.000
Gd: 0.750 0.750 0.750

Results
The formation energy from the elements is 0.12 eV/atom.

# 5
Here is a geometry-optimized La12Ga3H5 structure from Alexandria. Energies are from PBE.

Lattice parameters (Å, degrees): 14.027 14.027 14.027 109.47 109.47 109.47
Sites, in units of the cell vectors:
H: 0.125 0.375 0.250
H: 0.875 0.625 0.750
H: 0.500 0.500 0.500
H: 0.000 0.500 0.500
H: 0.375 0.125 0.750
H: 0.750 0.125 0.875
H: 0.125 0.750 0.375
H: 0.625 0.875 0.250
H: 0.000 0.000 0.500
H: 0.375 0.250 0.125
H: 0.500 0.000 0.000
H: 0.625 0.750 0.875
H: 0.875 0.250 0.625
H: 0.750 0.625 0.375
H: 0.500 0.500 0.000
H: 0.000 0.500 0.000
H: 0.250 0.875 0.125
H: 0.000 0.000 0.000
H: 0.500 0.000 0.500
H: 0.250 0.375 0.625
La: 0.476 0.689 0.091
La: 0.409 0.385 0.598
La: 0.115 0.713 0.524
La: 0.287 0.402 0.811
La: 0.902 0.811 0.787
La: 0.287 0.885 0.976
La: 0.091 0.189 0.476
La: 0.976 0.591 0.189
La: 0.098 0.189 0.213
La: 0.591 0.615 0.402
La: 0.902 0.091 0.615
La: 0.598 0.885 0.409
La: 0.385 0.409 0.098
La: 0.213 0.524 0.615
La: 0.385 0.976 0.787
La: 0.598 0.713 0.689
La: 0.311 0.787 0.402
La: 0.189 0.091 0.976
La: 0.909 0.098 0.885
La: 0.615 0.024 0.213
La: 0.115 0.402 0.091
La: 0.689 0.213 0.598
La: 0.098 0.909 0.385
La: 0.811 0.909 0.024
La: 0.689 0.476 0.591
La: 0.787 0.476 0.385
La: 0.811 0.902 0.287
La: 0.311 0.524 0.409
La: 0.976 0.385 0.287
La: 0.409 0.024 0.311
La: 0.024 0.409 0.811
La: 0.402 0.115 0.591
La: 0.713 0.598 0.189
La: 0.524 0.311 0.909
La: 0.787 0.311 0.902
La: 0.885 0.287 0.476
La: 0.024 0.615 0.713
La: 0.213 0.689 0.098
La: 0.885 0.598 0.909
La: 0.476 0.787 0.885
La: 0.091 0.902 0.115
La: 0.402 0.287 0.311
La: 0.615 0.591 0.902
La: 0.713 0.115 0.024
La: 0.189 0.098 0.713
La: 0.909 0.811 0.524
La: 0.591 0.976 0.689
La: 0.524 0.213 0.115
Ga: 0.125 0.250 0.875
Ga: 0.875 0.750 0.125
Ga: 0.250 0.625 0.875
Ga: 0.750 0.375 0.125
Ga: 0.375 0.750 0.625
Ga: 0.625 0.375 0.750
Ga: 0.750 0.875 0.625
Ga: 0.250 0.125 0.375
Ga: 0.625 0.250 0.375
Ga: 0.375 0.625 0.250
Ga: 0.875 0.125 0.250
Ga: 0.125 0.875 0.750

Results
The energy is -4.553 eV/atom.

# 6
Here is a geometry-optimized NaNpNb2O8 structure from Alexandria. Energies are from PBE.

Lattice parameters (Å, degrees): 5.059 5.051 6.430 90.60 88.80 86.94
Sites, in units of the cell vectors:
O: 0.785 0.205 0.218
O: 0.332 0.320 0.502
O: 0.210 0.771 0.235
O: 0.668 0.680 0.498
O: 0.790 0.229 0.765
O: 0.687 0.687 0.010
O: 0.313 0.313 0.990
O: 0.215 0.795 0.782
Np: 0.000 0.000 0.000
Nb: 0.519 0.538 0.258
Nb: 0.481 0.462 0.742
Na: 0.000 0.000 0.500

Results
As for the uncorrected formation energy: -2.54 eV per atom.